# 1
## DyPaIn2 (PBE-GGA)

Data for a relaxed DyPaIn2 crystal.

Cell: 3.324 3.324 9.249 Å, 90.00 90.00 90.00°
Each line ends with the local moment (μB).
Element x y z (fractional)
Pa  0.500  0.500  0.500  -0.20
In  0.000  0.000  0.752  0.00
In  0.000  0.000  0.248  0.00
Dy  0.500  0.500  0.000  0.23

* E_form: -0.2088 eV/atom
* crystal system: tetragonal
* polymorph energy (0 for the lowest one): 0 meV/atom

# 2
## DyPaIn2 (PBE-GGA)

Data for a relaxed DyPaIn2 crystal.

Cell: 4.558 4.776 4.776 Å, 90.00 90.00 90.00°
Element x y z (fractional)
Pa  0.500  0.500  0.500
In  0.000  0.000  0.500
In  0.000  0.500  0.000
Dy  0.500  0.000  0.000

* E_form: -0.1278 eV/atom
* crystal system: tetragonal
* polymorph energy (0 for the lowest one): 81 meV/atom

# 3
## PmDyPaIn (PBE-GGA)

Data for a relaxed PmDyPaIn crystal.

Cell: 5.387 5.387 5.387 Å, 60.00 60.00 60.00°
Element x y z (fractional)
In  0.250  0.250  0.250
Pa  0.750  0.750  0.750
Pm  0.500  0.500  0.500
Dy  0.000  0.000  0.000

* E_form: 0.1267 eV/atom
* crystal system: cubic

# 4
## Dy3PaIn3Se8 (PBE-GGA)

Data for a relaxed Dy3PaIn3Se8 crystal.

Cell: 8.292 8.292 9.138 Å, 117.00 90.00 120.00°
Each line ends with the local moment (μB).
Element x y z (fractional)
Dy  0.500  0.000  0.500  0.01
Dy  0.500  0.500  0.500  0.02
Dy  0.000  0.500  0.500  0.02
Pa  0.000  0.000  0.500  0.96
In  0.000  0.000  0.000  0.00
In  0.000  0.500  0.000  0.00
In  0.500  0.500  0.000  0.00
Se  0.264  0.529  0.293  0.00
Se  0.736  0.471  0.707  0.00
Se  0.766  0.532  0.294  -0.01
Se  0.234  0.468  0.706  -0.01
Se  0.766  0.028  0.294  -0.01
Se  0.234  0.972  0.706  -0.01
Se  0.262  0.028  0.294  -0.01
Se  0.738  0.972  0.706  -0.01

* crystal system: trigonal
* DFT total energy: -79.02 eV for the cell shown

# 5
## DyPaInSn (PBE-GGA)

Data for a relaxed DyPaInSn crystal.

Cell: 5.326 5.326 5.326 Å, 60.00 60.00 60.00°
Each line ends with the local moment (μB).
Element x y z (fractional)
Pa  0.500  0.500  0.500  1.12
In  0.250  0.250  0.250  0.03
Sn  0.750  0.750  0.750  0.03
Dy  0.000  0.000  0.000  0.26

* E_form: -0.1815 eV/atom
* crystal system: cubic

# 6
## DyPaInTc (PBE-GGA)

Data for a relaxed DyPaInTc crystal.

Cell: 5.080 5.080 5.080 Å, 60.00 60.00 60.00°
Element x y z (fractional)
Pa  0.500  0.500  0.500
In  0.250  0.250  0.250
Tc  0.750  0.750  0.750
Dy  0.000  0.000  0.000

* E_form: 0.0204 eV/atom
* crystal system: cubic

# 7
## Dy2PaIn3Te6 (PBE-GGA)

Data for a relaxed Dy2PaIn3Te6 crystal.

Cell: 7.564 7.564 8.621 Å, 98.41 98.41 119.99°
Each line ends with the local moment (μB).
Element x y z (fractional)
Dy  0.333  0.667  0.000  0.14
Dy  0.667  0.333  0.000  0.14
Pa  0.000  0.000  0.000  1.32
In  0.167  0.833  0.500  0.00
In  0.833  0.167  0.500  0.00
In  0.500  0.500  0.500  0.00
Te  0.926  0.593  0.779  -0.01
Te  0.740  0.740  0.221  -0.01
Te  0.074  0.407  0.221  -0.01
Te  0.593  0.926  0.779  -0.01
Te  0.260  0.260  0.779  -0.01
Te  0.407  0.074  0.221  -0.01

* crystal system: monoclinic
* DFT total energy: -55.35 eV for the cell shown

# 8
## DyPaZnIn (PBE-GGA)

Data for a relaxed DyPaZnIn crystal.

Cell: 5.191 5.191 5.191 Å, 60.00 60.00 60.00°
Each line ends with the local moment (μB).
Element x y z (fractional)
Zn  0.000  0.000  0.000  0.01
Pa  0.750  0.750  0.750  0.76
In  0.500  0.500  0.500  0.01
Dy  0.250  0.250  0.250  0.05

* E_form: -0.0397 eV/atom
* crystal system: cubic

# 9
## Dy3InPb2 (PBE-GGA)

Data for a relaxed Dy3InPb2 crystal.

Cell: 6.383 6.421 8.974 Å, 100.96 110.83 90.00°
Element x y z (fractional)
Dy  0.627  0.250  0.000
Dy  0.373  0.750  0.000
Dy  0.283  0.093  0.336
Dy  0.947  0.407  0.664
Dy  0.053  0.593  0.336
Dy  0.717  0.907  0.664
In  0.880  0.750  0.000
In  0.120  0.250  0.000
Pb  0.551  0.569  0.326
Pb  0.775  0.069  0.326
Pb  0.225  0.931  0.674
Pb  0.449  0.431  0.674

* E_form: -0.4273 eV/atom
* crystal system: monoclinic
* polymorph energy (0 for the lowest one): 0 meV/atom

# 10
## Dy5In2Pb (PBE-GGA)

Data for a relaxed Dy5In2Pb crystal.

Cell: 8.387 8.387 8.848 Å, 118.29 118.29 90.00°
Element x y z (fractional)
Dy  0.505  0.694  0.699
Dy  0.806  0.995  0.301
Dy  0.000  0.000  0.000
Dy  0.500  0.500  0.000
Dy  0.194  0.005  0.699
Dy  0.694  0.194  0.699
Dy  0.005  0.505  0.699
Dy  0.306  0.806  0.301
Dy  0.995  0.495  0.301
Dy  0.495  0.306  0.301
In  0.142  0.358  0.000
In  0.642  0.142  0.000
In  0.358  0.858  0.000
In  0.858  0.642  0.000
Pb  0.750  0.750  0.500
Pb  0.250  0.250  0.500

* E_form: -0.4108 eV/atom
* crystal system: tetragonal

# 11
## Dy2InPb (PBE-GGA)

Data for a relaxed Dy2InPb crystal.

Cell: 4.590 4.346 6.199 Å, 90.00 111.73 90.00°
Element x y z (fractional)
Dy  0.811  0.500  0.622
Dy  0.079  0.000  0.159
In  0.539  0.500  0.078
Pb  0.355  0.000  0.710

* E_form: -0.4702 eV/atom
* crystal system: orthorhombic

# 12
## DyIn6Pb (PBE-GGA)

Data for a relaxed DyIn6Pb crystal.

Cell: 4.563 6.837 6.837 Å, 90.00 90.00 90.00°
Element x y z (fractional)
Dy  0.500  0.000  0.000
In  0.000  0.753  0.247
In  0.000  0.247  0.753
In  0.000  0.753  0.753
In  0.000  0.247  0.247
In  0.500  0.500  0.000
In  0.500  0.000  0.500
Pb  0.500  0.500  0.500

* E_form: -0.1321 eV/atom
* crystal system: tetragonal